1.
Below is a relaxed structure of CrRe2Br, with properties calculated at the PBE-GGA level.

Results
* energy relative to the elements, uncorrected: 1607 meV per atom
* magnetization: 0.0 μB/f.u.

a b c (Å): 5.4135 5.4135 6.8316
angles (deg): 66.66 66.66 90.00
Sites, in units of the cell vectors:
Cr 0.2500 0.7500 0.5000
Cr 0.5000 0.5000 0.0000
Re 0.5943 0.1250 0.2500
Re 0.3750 0.4057 0.7500
Re 0.8750 0.8443 0.7500
Re 0.1557 0.6250 0.2500
Br 0.7500 0.2500 0.5000
Br 0.0000 0.0000 0.0000


2.
Below is a relaxed structure of CrRe2Br, with properties calculated at the PBE-GGA level.

Results
* energy relative to the elements, uncorrected: 963 meV per atom
* magnetization: 0.1 μB/f.u.

a b c (Å): 5.3138 5.3138 5.3138
angles (deg): 148.10 130.41 60.18
Site moments in Bohr magnetons follow the coordinates.
Sites, in units of the cell vectors:
Re 0.9862 0.9862 0.0000  -0.02
Re 0.5138 0.5138 0.0000  -0.02
Cr 0.2500 0.7500 0.5000  0.10
Br 0.7500 0.2500 0.5000  0.00


3.
Below is a relaxed structure of CrReBr2, with properties calculated at the PBE-GGA level.

Results
* energy relative to the elements, uncorrected: 937 meV per atom
* magnetization: 0.0 μB/f.u.

a b c (Å): 8.4990 8.4990 8.4990
angles (deg): 20.98 20.98 20.98
Sites, in units of the cell vectors:
Cr 0.5000 0.5000 0.5000
Br 0.0975 0.0975 0.0975
Br 0.9025 0.9025 0.9025
Re 0.0000 0.0000 0.0000


4.
Below is a relaxed structure of CrReBr2, with properties calculated at the PBE-GGA level.

Results
* energy relative to the elements, uncorrected: 1155 meV per atom
* magnetization: 3.3 μB/f.u.

a b c (Å): 4.6091 4.6091 3.3098
angles (deg): 90.00 90.00 90.00
Site moments in Bohr magnetons follow the coordinates.
Sites, in units of the cell vectors:
Cr 0.5000 0.0000 0.5000  3.74
Br 0.0000 0.0000 0.0000  0.00
Br 0.5000 0.5000 0.0000  0.00
Re 0.0000 0.5000 0.5000  -0.76


5.
Below is a relaxed structure of CrRe2Br, with properties calculated at the PBE-GGA level.

Results
* energy relative to the elements, uncorrected: 712 meV per atom
* magnetization: 0.0 μB/f.u.

a b c (Å): 3.7709 2.9840 6.6316
angles (deg): 79.20 90.00 90.00
Sites, in units of the cell vectors:
Re 0.0000 0.0795 0.9721
Re 0.5000 0.4673 0.1491
Br 0.0000 0.3416 0.5728
Cr 0.5000 0.6116 0.8060


6.
Below is a relaxed structure of CrRe2Br, with properties calculated at the PBE-GGA level.

Results
* energy relative to the elements, uncorrected: 783 meV per atom
* magnetization: 2.4 μB/f.u.

a b c (Å): 2.8259 2.8259 9.6385
angles (deg): 90.00 90.00 114.62
Site moments in Bohr magnetons follow the coordinates.
Sites, in units of the cell vectors:
Br 0.0000 0.0000 0.5547  0.00
Re 0.0000 0.0000 0.9804  -0.22
Re 0.5000 0.5000 0.1972  0.05
Cr 0.5000 0.5000 0.7678  2.40


7.
Below is a relaxed structure of Cr3ReBr, with properties calculated at the PBE-GGA level.

Results
* energy relative to the elements, uncorrected: 1294 meV per atom
* magnetization: 10.0 μB/f.u.

a b c (Å): 4.8233 4.8233 4.8233
angles (deg): 90.00 90.00 90.00
Site moments in Bohr magnetons follow the coordinates.
Sites, in units of the cell vectors:
Br 0.5000 0.5000 0.5000  0.12
Cr 0.0000 0.0000 0.5000  2.88
Cr 0.0000 0.5000 0.0000  3.25
Cr 0.5000 0.0000 0.0000  3.68
Re 0.0000 0.0000 0.0000  -1.06


8.
Below is a relaxed structure of CrReBr, with properties calculated at the PBE-GGA level.

Results
* energy relative to the elements, uncorrected: 1100 meV per atom
* magnetization: 0.0 μB/f.u.

a b c (Å): 4.1900 4.1900 2.9361
angles (deg): 90.00 90.00 120.00
Sites, in units of the cell vectors:
Br 0.0000 0.0000 0.0399
Cr 0.6667 0.3333 0.2228
Re 0.3333 0.6667 0.7373


| no. | E above lowest polymorph (meV per atom) |
| --- | --- |
| 1 | 1036 |
| 2 | 393 |
| 3 | 746 |
| 4 | 964 |
| 5 | 142 |
| 6 | 213 |
| 7 | 0 |
| 8 | 571 |